Record 1
A geometry-optimized Tl2TeH structure. Source: Alexandria, functional GGA-PBE.

Values from the calculation:
- Uncorrected energy: -2.690 eV per atom
- SG: No. 122

POSCAR file:
```
Tl2TeH
1.0
6.300 0.000 0.000
0.000 6.300 0.000
3.150 3.150 5.922
H Tl Te
2 4 2
Cartesian
3.150 3.150 0.000
3.150 6.300 2.961
4.072 1.575 1.481
2.228 4.725 1.481
4.725 5.378 4.442
7.875 7.223 4.442
0.000 0.000 0.000
6.300 3.150 2.961
```



Record 2
A geometry-optimized Sr2Ga2Hg structure. Source: Alexandria, functional GGA-PBE.

Values from the calculation:
- Uncorrected energy: -2.163 eV per atom
- SG: No. 139
- ΔH_f (0 K): -219 meV/atom

POSCAR file:
```
Sr2Ga2Hg
1.0
-1.584 5.192 -3.115
1.314 -2.848 -5.416
-4.008 -0.155 -4.507
Sr Hg Ga
2 1 2
Cartesian
-2.863 3.105 -5.944
-1.414 -0.916 -7.094
0.000 0.000 0.000
-1.281 0.779 -4.337
-2.997 1.410 -8.701
```



| no. | ΔE to the lowest computed polymorph (meV/atom) |
| --- | --- |
| 1 | 6 |
| 2 | 221 |